Entry i
# Nd2AsO5

A relaxed Nd2AsO5 crystal (GGA-PBE, Alexandria via LeMat-Bulk). Values from VASP.

size of the total moment = 0.00 μB per formula unit
density of states at the Fermi level = 0.155 states/eV per atom
space group = I4mm

The structure in Quantum ESPRESSO input format:
```
&SYSTEM
  ibrav = 0, nat = 8, ntyp = 3
/
ATOMIC_SPECIES
O 16.00 O.upf
As 74.92 As.upf
Nd 144.24 Nd.upf
ATOMIC_POSITIONS crystal
O 0.7693 0.7693 0.0192
As 0.9967 0.9967 0.9933
Nd 0.7445 0.2447 0.4891
O 0.2498 0.2498 0.0190
O 0.2498 0.7691 0.0190
Nd 0.2447 0.7445 0.4891
O 0.7529 0.7530 0.5062
O 0.7692 0.2499 0.0191
CELL_PARAMETERS angstrom
-4.9110 -0.1378 -2.4456
-2.0452 -2.7901 4.2603
2.6021 4.5414 0.6843
```



Entry ii
# Nd2AsO5

A relaxed Nd2AsO5 crystal (GGA-PBE, Alexandria via LeMat-Bulk). Values from VASP.

size of the total moment = 0.90 μB per formula unit
density of states at the Fermi level = 0.203 states/eV per atom
space group = P2_1/c

The structure in Quantum ESPRESSO input format:
```
&SYSTEM
  ibrav = 0, nat = 32, ntyp = 3
/
ATOMIC_SPECIES
O 16.00 O.upf
Nd 144.24 Nd.upf
As 74.92 As.upf
ATOMIC_POSITIONS crystal
O 0.0004 0.3206 0.3945
O 0.0919 0.3760 0.9030
O 0.4996 0.8206 0.6055
Nd 0.7280 0.8796 0.0240
As 0.9198 0.1059 0.3132
O 0.8956 0.0485 0.6483
O 0.5919 0.1240 0.9030
O 0.0619 0.8598 0.8785
O 0.4381 0.3598 0.1215
Nd 0.0724 0.3561 0.6520
As 0.4198 0.3941 0.3132
Nd 0.4276 0.8561 0.3480
O 0.9381 0.1402 0.1215
As 0.5802 0.6059 0.6868
Nd 0.9276 0.6439 0.3480
Nd 0.5724 0.1439 0.6520
O 0.4081 0.8760 0.0970
O 0.2580 0.1035 0.7227
O 0.2420 0.6035 0.2773
O 0.9081 0.6240 0.0970
O 0.6044 0.5485 0.3517
O 0.7420 0.8965 0.2773
O 0.3956 0.4515 0.6483
O 0.1044 0.9515 0.3517
O 0.7580 0.3965 0.7227
Nd 0.7720 0.3796 0.9760
O 0.5619 0.6402 0.8785
Nd 0.2720 0.1204 0.9760
Nd 0.2280 0.6204 0.0240
O 0.9996 0.6794 0.6055
As 0.0802 0.8941 0.6868
O 0.5004 0.1794 0.3945
CELL_PARAMETERS angstrom
7.0227 0.0000 -0.9162
0.0000 7.4623 0.0000
0.9424 0.0000 9.3288
```



Which one sits at the top of the stability order? entry ii does.



Entry i
# Nd2AsP

A relaxed Nd2AsP crystal (GGA-PBE, Alexandria via LeMat-Bulk). Values from VASP.

size of the total moment = 0.00 μB per formula unit
density of states at the Fermi level = 0.075 states/eV per atom
space group = R3m

The structure in Quantum ESPRESSO input format:
```
&SYSTEM
  ibrav = 0, nat = 4, ntyp = 3
/
ATOMIC_SPECIES
Nd 144.24 Nd.upf
P 30.97 P.upf
As 74.92 As.upf
ATOMIC_POSITIONS crystal
Nd 0.0830 0.0830 0.7511
Nd 0.2505 0.2505 0.2485
P 0.4990 0.4990 0.5030
As 0.6675 0.6675 0.9974
CELL_PARAMETERS angstrom
-2.6736 3.1902 0.1772
-2.2118 0.6742 3.4656
3.6259 5.5515 3.7382
```



Entry ii
# Nd2AsP

A relaxed Nd2AsP crystal (GGA-PBE, Alexandria via LeMat-Bulk). Values from VASP.

size of the total moment = 0.00 μB per formula unit
density of states at the Fermi level = 0.116 states/eV per atom
space group = R-3m

The structure in Quantum ESPRESSO input format:
```
&SYSTEM
  ibrav = 0, nat = 4, ntyp = 3
/
ATOMIC_SPECIES
As 74.92 As.upf
Nd 144.24 Nd.upf
P 30.97 P.upf
ATOMIC_POSITIONS crystal
As 0.0000 0.5000 0.5000
Nd 0.4957 0.7478 0.2435
Nd 0.5043 0.2522 0.7565
P 0.0000 0.0000 0.0000
CELL_PARAMETERS angstrom
4.2209 -0.0007 -0.0038
-2.1099 3.6558 0.0038
-2.1054 -1.2212 6.8943
```



Which one sits at the top of the stability order? entry ii does.